1) ## ThGe3Ru3 (GGA-PBE)

Data for a relaxed structure of ThGe3Ru3.

Computed properties:
Density: 9.01 Mg/m³
D(E_F): 9.418 states/eV per cell

The structure in extended XYZ format:
```
14
Lattice="-5.911 3.460 -0.866 -2.771 0.578 -6.296 -6.363 -4.328 -1.382" Properties=species:S:1:pos:R:3 pbc="T T T"
Ge -4.737 -0.187 -4.727
Ge -7.440 1.891 -2.321
Th -12.123 -1.593 -6.165
Ru -9.067 2.009 -4.235
Ge -6.927 -1.867 -2.117
Ge -7.603 -2.181 -6.224
Ru -6.270 -0.122 -6.609
Ru -8.774 -0.168 -1.935
Ru -9.385 -0.535 -6.117
Th -2.920 1.303 -2.380
Ru -5.659 0.245 -2.427
Ge -10.306 -0.103 -3.817
Ru -5.977 -2.299 -4.309
Ge -8.116 1.577 -6.427
```

2) ## ThGe3Ru3 (GGA-PBE)

Data for a relaxed structure of ThGe3Ru3.

Computed properties:
Density: 8.45 Mg/m³
D(E_F): 12.911 states/eV per cell

The structure in extended XYZ format:
```
14
Lattice="6.664 0.000 0.000 0.000 6.664 0.000 0.000 0.000 6.664" Properties=species:S:1:pos:R:3 pbc="T T T"
Ge 1.666 3.332 0.000
Th 3.332 3.332 3.332
Ru 0.000 3.332 4.998
Ru 0.000 3.332 1.666
Ge 0.000 1.666 3.332
Ge 0.000 4.998 3.332
Ge 3.332 0.000 1.666
Ru 3.332 1.666 0.000
Ge 4.998 3.332 0.000
Ru 3.332 4.998 0.000
Ru 4.998 0.000 3.332
Th 0.000 0.000 0.000
Ge 3.332 0.000 4.998
Ru 1.666 0.000 3.332
```

Stability summary: most stable 1), least stable 2).

1) ## Th4GeRu (GGA-PBE)

Data for a relaxed structure of Th4GeRu.

Computed properties:
Density: 9.31 Mg/m³
D(E_F): 17.391 states/eV per cell

The structure in extended XYZ format:
```
12
Lattice="-2.596 6.885 -3.147 -5.877 -4.941 2.259 4.236 1.815 6.543" Properties=species:S:1:pos:R:3 pbc="T T T"
Ge -5.013 -0.601 3.961
Ru -2.177 0.499 -0.228
Th -1.697 4.248 3.176
Th -1.060 5.462 -0.242
Th 0.238 1.708 0.651
Th 1.241 7.030 2.728
Th -3.810 2.743 0.264
Ru -0.879 -1.549 4.394
Ge -6.311 1.448 -0.662
Th -3.188 -1.740 5.999
Th -2.512 -0.454 2.376
Th -0.249 0.976 5.409
```

2) ## Th4GeRu (GGA-PBE)

Data for a relaxed structure of Th4GeRu.

Computed properties:
Density: 11.43 Mg/m³
D(E_F): 12.437 states/eV per cell

The structure in extended XYZ format:
```
12
Lattice="6.055 0.000 0.000 0.000 7.271 0.000 0.000 0.000 7.271" Properties=species:S:1:pos:R:3 pbc="T T T"
Th 0.000 4.760 6.010
Th 3.027 6.010 4.760
Ru 1.514 3.635 3.635
Th 3.027 1.261 2.511
Ge 4.541 0.000 0.000
Th 3.027 4.760 1.261
Th 0.000 6.010 2.511
Ru 4.541 3.635 3.635
Ge 1.514 0.000 0.000
Th 0.000 1.261 4.760
Th 3.027 2.511 6.010
Th 0.000 2.511 1.261
```

Stability summary: most stable 2), least stable 1).